[1]
Material: AlCoIr2
Method: DFT, PBE-GGA
State: relaxed

a b c (Å): 2.7378 3.7094 5.3079
angles (deg): 90.00 90.00 90.00
With the nearest neighbours (Å) after each atom.
Atoms (fractional coordinates):
Ir 0.0000 0.0000 0.9747  2 Al 2.52-2.79, 4 Co 2.57, 6 Ir 2.74-2.77
Ir 0.5000 0.5000 0.2627  4 Al 2.63, 2 Co 2.65-2.66, 6 Ir 2.74-2.77
Co 0.5000 0.5000 0.7622  6 Ir 2.57-2.66, 4 Al 2.69, 2 Co 2.74
Al 0.0000 0.0000 0.5003  6 Ir 2.52-2.79, 4 Co 2.69, 2 Al 2.74

Output
Calculated formation energy ... -0.291 eV/atom

[2]
Material: AlCo2Ir
Method: DFT, PBE-GGA
State: relaxed

a b c (Å): 2.9010 2.9010 5.9269
angles (deg): 90.00 90.00 90.00
With the nearest neighbours (Å) after each atom.
Atoms (fractional coordinates):
Ir 0.0000 0.0000 0.5031  4 Al 2.57, 4 Co 2.62
Al 0.5000 0.5000 0.7636  5 Co 2.50-2.76, 4 Ir 2.57
Co 0.5000 0.5000 0.2290  4 Co 2.45, 4 Ir 2.62
Co 0.0000 0.0000 0.0042  4 Co 2.45, 4 Al 2.50

Output
Calculated formation energy ... -0.293 eV/atom

[3]
Material: AlCoIr2
Method: DFT, PBE-GGA
State: relaxed

a b c (Å): 4.2870 4.2870 4.2870
angles (deg): 60.00 60.00 60.00
With the nearest neighbours (Å) after each atom.
Atoms (fractional coordinates):
Ir 0.2500 0.2500 0.2500  4 Ir 2.63, 4 Al 2.63
Ir 0.0000 0.0000 0.0000  4 Co 2.63, 4 Ir 2.63
Al 0.5000 0.5000 0.5000  4 Co 2.63, 4 Ir 2.63
Co 0.7500 0.7500 0.7500  4 Al 2.63, 4 Ir 2.63

Output
Calculated formation energy ... -0.093 eV/atom

[4]
Material: AlCoIr
Method: DFT, PBE-GGA
State: relaxed

a b c (Å): 4.0855 4.0855 2.7346
angles (deg): 90.00 90.00 120.00
With the nearest neighbours (Å) after each atom.
Atoms (fractional coordinates):
Co 0.3333 0.6667 0.2408  3 Al 2.40, 3 Ir 2.65
Al 0.0000 0.0000 0.0806  3 Co 2.40, 3 Ir 2.60
Ir 0.6667 0.3333 0.6786  6 Al 2.60-2.87, 6 Co 2.65-2.82, 2 Ir 2.73

Output
Calculated formation energy ... -0.314 eV/atom
Distance to the lowest polymorph of the same formula ... 80 meV/atom

[5]
Material: AlCo2Ir
Method: DFT, PBE-GGA
State: relaxed

a b c (Å): 2.8880 4.1184 4.2341
angles (deg): 90.00 90.00 90.00
With the nearest neighbours (Å) after each atom.
Atoms (fractional coordinates):
Ir 0.5000 0.0000 0.5000  4 Al 2.52, 4 Co 2.56
Co 0.5000 0.5000 0.0000  4 Co 2.52, 4 Al 2.56
Co 0.0000 0.0000 0.0000  4 Co 2.52, 4 Ir 2.56
Al 0.0000 0.5000 0.5000  4 Ir 2.52, 4 Co 2.56

Output
Calculated formation energy ... -0.289 eV/atom

[6]
Material: AlCoIr2
Method: DFT, PBE-GGA
State: relaxed

a b c (Å): 8.4986 8.4986 8.4986
angles (deg): 18.54 18.54 18.54
With the nearest neighbours (Å) after each atom.
Atoms (fractional coordinates):
Ir 0.2465 0.2465 0.2465  3 Al 2.61, 9 Ir 2.74-2.77
Ir 0.0042 0.0042 0.0042  3 Co 2.58, 9 Ir 2.74-2.77
Co 0.7524 0.7524 0.7524  3 Al 2.51, 3 Ir 2.58, 6 Co 2.74
Al 0.4969 0.4969 0.4969  3 Co 2.51, 3 Ir 2.61, 6 Al 2.74

Output
Calculated formation energy ... -0.173 eV/atom

[7]
Material: AlCoIr
Method: DFT, PBE-GGA
State: relaxed

a b c (Å): 4.3649 5.0370 7.2824
angles (deg): 90.00 90.00 90.00
With the nearest neighbours (Å) after each atom.
Atoms (fractional coordinates):
Al 0.5000 0.5000 0.0634  5 Ir 2.45-2.53, 2 Co 2.61
Al 0.0000 0.0000 0.9366  5 Ir 2.45-2.53, 2 Co 2.61
Al 0.5000 0.0000 0.4367  5 Ir 2.45-2.53, 2 Co 2.61
Al 0.0000 0.5000 0.5633  5 Ir 2.45-2.53, 2 Co 2.61
Co 0.5000 0.7500 0.7501  2 Co 2.52, 2 Al 2.61, 4 Ir 2.75
Co 0.5000 0.2500 0.7501  2 Co 2.52, 2 Al 2.61, 4 Ir 2.75
Co 0.0000 0.7500 0.2499  2 Co 2.52, 2 Al 2.61, 4 Ir 2.75
Co 0.0000 0.2500 0.2499  2 Co 2.52, 2 Al 2.61, 4 Ir 2.75
Ir 0.5000 0.0000 0.0996  5 Al 2.45-2.53, 4 Co 2.75
Ir 0.0000 0.0000 0.5997  5 Al 2.45-2.53, 4 Co 2.75
Ir 0.0000 0.5000 0.9004  5 Al 2.45-2.53, 4 Co 2.75
Ir 0.5000 0.5000 0.4004  5 Al 2.45-2.53, 4 Co 2.75

Output
Calculated formation energy ... -0.308 eV/atom
Distance to the lowest polymorph of the same formula ... 86 meV/atom

[8]
Material: AlCoIr2
Method: DFT, PBE-GGA
State: relaxed

a b c (Å): 2.7374 2.7374 8.4426
angles (deg): 90.00 90.00 117.75
With the nearest neighbours (Å) after each atom.
Atoms (fractional coordinates):
Ir 0.0000 0.0000 0.4932  2 Al 2.49, 2 Co 2.59, 4 Ir 2.74
Ir 0.0000 0.0000 0.0068  2 Al 2.49, 2 Co 2.59, 4 Ir 2.74
Co 0.5000 0.5000 0.7500  4 Ir 2.59, 6 Co 2.74-2.83
Al 0.5000 0.5000 0.2500  4 Ir 2.49, 4 Al 2.74

Output
Calculated formation energy ... -0.087 eV/atom

[9]
Material: AlCo2Ir
Method: DFT, PBE-GGA
State: relaxed

a b c (Å): 8.2561 8.2561 8.2561
angles (deg): 18.87 18.87 18.87
With the nearest neighbours (Å) after each atom.
Atoms (fractional coordinates):
Al 0.7469 0.7469 0.7469  3 Co 2.52, 3 Ir 2.62, 6 Al 2.71
Ir 0.4999 0.4999 0.4999  3 Al 2.62, 3 Co 2.65, 6 Ir 2.71
Co 0.9989 0.9989 0.9989  9 Co 2.45-2.71, 3 Al 2.52
Co 0.2544 0.2544 0.2544  9 Co 2.45-2.71, 3 Ir 2.65

Output
Calculated formation energy ... -0.112 eV/atom

[10]
Material: AlCoIr2
Method: DFT, PBE-GGA
State: relaxed

a b c (Å): 5.0591 5.0591 5.0591
angles (deg): 147.32 127.04 63.63
With the nearest neighbours (Å) after each atom.
Atoms (fractional coordinates):
Al 0.7500 0.2500 0.5000  4 Ir 2.48, 4 Co 2.67
Co 0.2500 0.7500 0.5000  4 Al 2.67, 4 Ir 2.68, 2 Co 2.85
Ir 0.9855 0.9855 0.0000  2 Al 2.48, 4 Ir 2.68, 2 Co 2.68
Ir 0.5145 0.5145 0.0000  2 Al 2.48, 4 Ir 2.68, 2 Co 2.68

Output
Calculated formation energy ... -0.220 eV/atom

[11]
Material: LaAl4CoIr2
Method: DFT, PBE-GGA
State: relaxed

a b c (Å): 4.1996 4.1996 9.2967
angles (deg): 76.95 76.95 60.00
With the nearest neighbours (Å) after each atom.
Atoms (fractional coordinates):
Co 0.5000 0.5000 0.5000  8 Al 2.42-2.57
Al 0.8648 0.8648 0.4057  3 Co 2.57, 4 Ir 2.57-2.58
Al 0.4103 0.4103 0.7692  1 Co 2.42, 3 Ir 2.52
Al 0.1352 0.1352 0.5943  3 Co 2.57, 4 Ir 2.57-2.58
Al 0.5897 0.5897 0.2308  1 Co 2.42, 3 Ir 2.52
La 0.0000 0.0000 0.0000  6 Al 3.19
Ir 0.7693 0.7693 0.6922  7 Al 2.52-2.58
Ir 0.2307 0.2307 0.3078  7 Al 2.52-2.58

Output
Calculated formation energy ... -0.759 eV/atom

[12]
Material: La2Al12Co3Ir
Method: DFT, PBE-GGA
State: relaxed

a b c (Å): 8.1878 8.1878 8.1878
angles (deg): 60.60 60.60 60.60
With the nearest neighbours (Å) after each atom.
Atoms (fractional coordinates):
Co 0.5000 0.0000 0.0000  6 Al 2.24-2.28
Co 0.0000 0.0000 0.5000  6 Al 2.24-2.28
Co 0.0000 0.5000 0.0000  6 Al 2.24-2.28
La 0.6118 0.6118 0.6118  6 Al 3.35-3.36
La 0.3882 0.3882 0.3882  6 Al 3.35-3.36
Al 0.6759 0.6759 0.0799  2 Co 2.24
Al 0.0799 0.6759 0.6759  2 Co 2.24
Al 0.9002 0.9002 0.3586  1 Co 2.28, 1 Ir 2.43
Al 0.3241 0.3241 0.9201  2 Co 2.24
Al 0.0998 0.0998 0.6414  1 Co 2.28, 1 Ir 2.43
Al 0.3241 0.9201 0.3241  2 Co 2.24
Al 0.6759 0.0799 0.6759  2 Co 2.24
Al 0.6414 0.0998 0.0998  1 Co 2.28, 1 Ir 2.43
Al 0.9201 0.3241 0.3241  2 Co 2.24
Al 0.9002 0.3586 0.9002  1 Co 2.28, 1 Ir 2.43
Al 0.0998 0.6414 0.0998  1 Co 2.28, 1 Ir 2.43
Al 0.3586 0.9002 0.9002  1 Co 2.28, 1 Ir 2.43
Ir 0.0000 0.0000 0.0000  6 Al 2.43

Output
Calculated formation energy ... 0.051 eV/atom

[13]
Material: LuAlCoIr
Method: DFT, PBE-GGA
State: relaxed

a b c (Å): 4.4414 4.4414 4.4414
angles (deg): 60.00 60.00 60.00
With the nearest neighbours (Å) after each atom.
Atoms (fractional coordinates):
Ir 0.0000 0.0000 0.0000  4 Al 2.72, 4 Lu 2.72
Lu 0.2500 0.2500 0.2500  4 Ir 2.72, 4 Co 2.72
Co 0.5000 0.5000 0.5000  4 Lu 2.72, 4 Al 2.72
Al 0.7500 0.7500 0.7500  4 Ir 2.72, 4 Co 2.72

Output
Calculated formation energy ... -0.635 eV/atom

[14]
Material: MgAlCoIr
Method: DFT, PBE-GGA
State: relaxed

a b c (Å): 4.2434 4.2434 4.2434
angles (deg): 60.00 60.00 60.00
With the nearest neighbours (Å) after each atom.
Atoms (fractional coordinates):
Ir 0.0000 0.0000 0.0000  4 Al 2.60, 4 Mg 2.60
Al 0.7500 0.7500 0.7500  4 Ir 2.60, 4 Co 2.60
Co 0.5000 0.5000 0.5000  4 Mg 2.60, 4 Al 2.60
Mg 0.2500 0.2500 0.2500  4 Co 2.60, 4 Ir 2.60

Output
Calculated formation energy ... -0.465 eV/atom

[15]
Material: MgAlCoIr2
Method: DFT, PBE-GGA
State: relaxed

a b c (Å): 4.4892 4.5179 4.4892
angles (deg): 90.00 90.00 90.00
With the nearest neighbours (Å) after each atom.
Atoms (fractional coordinates):
Al 0.0000 0.5000 0.0000  2 Mg 2.26
Ir 0.0000 0.0000 0.5000  2 Mg 2.24
Ir 0.5000 0.0000 0.0000  2 Mg 2.24
Co 0.5000 0.5000 0.5000  4 Al 3.17, 8 Ir 3.18
Mg 0.0000 0.0000 0.0000  4 Ir 2.24, 2 Al 2.26

Output
Calculated formation energy ... 1.561 eV/atom

[16]
Material: NbAlCo2Ir
Method: DFT, PBE-GGA
State: relaxed

a b c (Å): 4.0973 4.7279 4.0973
angles (deg): 90.00 90.00 90.00
With the nearest neighbours (Å) after each atom.
Atoms (fractional coordinates):
Al 0.0000 0.0000 0.0000  4 Co 2.05
Ir 0.5000 0.5000 0.5000  4 Nb 2.90, 8 Co 3.13
Co 0.0000 0.0000 0.5000  2 Al 2.05
Co 0.5000 0.0000 0.0000  2 Al 2.05
Nb 0.0000 0.5000 0.0000  2 Al 2.36

Output
Calculated formation energy ... 1.088 eV/atom
Distance to the lowest polymorph of the same formula ... 12 meV/atom

[17]
Material: NbAlCo2Ir
Method: DFT, PBE-GGA
State: relaxed

a b c (Å): 4.5616 4.7911 4.5616
angles (deg): 90.00 90.00 90.00
With the nearest neighbours (Å) after each atom.
Atoms (fractional coordinates):
Nb 0.0000 0.5000 0.0000  2 Ir 2.40
Ir 0.0000 0.0000 0.0000  4 Co 2.28, 2 Nb 2.40
Co 0.5000 0.0000 0.0000  2 Ir 2.28
Co 0.0000 0.0000 0.5000  2 Ir 2.28
Al 0.5000 0.5000 0.5000  4 Nb 3.23, 8 Co 3.31

Output
Calculated formation energy ... 1.076 eV/atom
Distance to the lowest polymorph of the same formula ... 0 meV/atom

[18]
Material: AlCoNiIr
Method: DFT, PBE-GGA
State: relaxed

a b c (Å): 4.1471 4.1471 4.1471
angles (deg): 60.00 60.00 60.00
With the nearest neighbours (Å) after each atom.
Atoms (fractional coordinates):
Co 0.5000 0.5000 0.5000  4 Ni 2.54, 4 Ir 2.54
Al 0.0000 0.0000 0.0000  4 Ni 2.54, 4 Ir 2.54
Ir 0.7500 0.7500 0.7500  4 Al 2.54, 4 Co 2.54
Ni 0.2500 0.2500 0.2500  4 Co 2.54, 4 Al 2.54

Output
Calculated formation energy ... -0.325 eV/atom

[19]
Material: Al4CoNi2Ir
Method: DFT, PBE-GGA
State: relaxed

a b c (Å): 4.1374 4.1374 7.1674
angles (deg): 73.22 73.22 60.00
With the nearest neighbours (Å) after each atom.
Atoms (fractional coordinates):
Ni 0.7502 0.7502 0.7494  8 Al 2.47-2.61
Ni 0.2498 0.2498 0.2506  8 Al 2.47-2.61
Al 0.1280 0.1280 0.6160  4 Ni 2.47-2.55, 3 Co 2.51, 1 Ir 2.60
Al 0.6217 0.6217 0.1350  1 Co 2.47, 4 Ni 2.51-2.61, 3 Ir 2.56
Al 0.3783 0.3783 0.8650  1 Co 2.47, 4 Ni 2.51-2.61, 3 Ir 2.56
Al 0.8720 0.8720 0.3840  4 Ni 2.47-2.55, 3 Co 2.51, 1 Ir 2.60
Co 0.5000 0.5000 0.5000  8 Al 2.47-2.51
Ir 0.0000 0.0000 0.0000  8 Al 2.56-2.60

Output
Calculated formation energy ... -0.686 eV/atom

[20]
Material: Al4Co2NiIr
Method: DFT, PBE-GGA
State: relaxed

a b c (Å): 4.1269 4.1269 7.1431
angles (deg): 73.21 73.21 60.00
With the nearest neighbours (Å) after each atom.
Atoms (fractional coordinates):
Ni 0.5000 0.5000 0.5000  8 Al 2.48-2.51
Al 0.3773 0.3773 0.8681  1 Ni 2.48, 4 Co 2.51-2.58, 3 Ir 2.54
Al 0.6227 0.6227 0.1319  1 Ni 2.48, 4 Co 2.51-2.58, 3 Ir 2.54
Al 0.1271 0.1271 0.6188  4 Co 2.48-2.54, 3 Ni 2.51, 1 Ir 2.57
Al 0.8729 0.8729 0.3812  4 Co 2.48-2.54, 3 Ni 2.51, 1 Ir 2.57
Co 0.2496 0.2496 0.2511  8 Al 2.48-2.58
Co 0.7504 0.7504 0.7489  8 Al 2.48-2.58
Ir 0.0000 0.0000 0.0000  8 Al 2.54-2.57

Output
Calculated formation energy ... -0.687 eV/atom

[21]
Material: Rb2AlCoIr
Method: DFT, PBE-GGA
State: relaxed

a b c (Å): 6.7120 4.5908 6.7120
angles (deg): 90.00 90.00 90.00
With the nearest neighbours (Å) after each atom.
Atoms (fractional coordinates):
Co 0.5000 0.5000 0.5000  8 Rb 4.07
Rb 0.5000 0.0000 0.0000  2 Al 3.36
Rb 0.0000 0.0000 0.5000  2 Al 3.36
Ir 0.0000 0.5000 0.0000  2 Al 2.30
Al 0.0000 0.0000 0.0000  2 Ir 2.30

Output
Calculated formation energy ... 1.158 eV/atom

[22]
Material: Al4CoIrRh2
Method: DFT, PBE-GGA
State: relaxed

a b c (Å): 4.2087 4.2087 7.2843
angles (deg): 73.21 73.21 60.00
With the nearest neighbours (Å) after each atom.
Atoms (fractional coordinates):
Al 0.3775 0.3775 0.8675  1 Co 2.52, 4 Rh 2.57-2.64, 3 Ir 2.59
Al 0.8730 0.8730 0.3811  4 Rh 2.52-2.59, 3 Co 2.56, 1 Ir 2.62
Al 0.6225 0.6225 0.1325  1 Co 2.52, 4 Rh 2.57-2.64, 3 Ir 2.59
Al 0.1270 0.1270 0.6189  4 Rh 2.52-2.59, 3 Co 2.56, 1 Ir 2.62
Rh 0.2491 0.2491 0.2526  8 Al 2.52-2.64
Rh 0.7509 0.7509 0.7474  8 Al 2.52-2.64
Co 0.5000 0.5000 0.5000  8 Al 2.52-2.56
Ir 0.0000 0.0000 0.0000  8 Al 2.59-2.62

Output
Calculated formation energy ... -0.921 eV/atom

[23]
Material: AlCoIrRh
Method: DFT, PBE-GGA
State: relaxed

a b c (Å): 4.2323 4.2323 4.2323
angles (deg): 60.00 60.00 60.00
With the nearest neighbours (Å) after each atom.
Atoms (fractional coordinates):
Co 0.7500 0.7500 0.7500  4 Rh 2.59, 4 Ir 2.59
Rh 0.0000 0.0000 0.0000  4 Al 2.59, 4 Co 2.59
Al 0.2500 0.2500 0.2500  4 Ir 2.59, 4 Rh 2.59
Ir 0.5000 0.5000 0.5000  4 Co 2.59, 4 Al 2.59

Output
Calculated formation energy ... -0.414 eV/atom

[24]
Material: AlCoIrRh2
Method: DFT, PBE-GGA
State: relaxed

a b c (Å): 4.3840 4.4732 4.3840
angles (deg): 90.00 90.00 90.00
With the nearest neighbours (Å) after each atom.
Atoms (fractional coordinates):
Rh 0.0000 0.0000 0.5000  2 Al 2.19
Rh 0.5000 0.0000 0.0000  2 Al 2.19
Ir 0.0000 0.5000 0.0000  2 Al 2.24
Al 0.0000 0.0000 0.0000  4 Rh 2.19, 2 Ir 2.24
Co 0.5000 0.5000 0.5000  4 Ir 3.10, 8 Rh 3.13

Output
Calculated formation energy ... 0.980 eV/atom

[25]
Material: AlCoSiIr
Method: DFT, PBE-GGA
State: relaxed

a b c (Å): 4.1390 4.1390 4.1390
angles (deg): 60.00 60.00 60.00
With the nearest neighbours (Å) after each atom.
Atoms (fractional coordinates):
Ir 0.0000 0.0000 0.0000  4 Al 2.53, 4 Si 2.53
Si 0.7500 0.7500 0.7500  4 Co 2.53, 4 Ir 2.53
Co 0.5000 0.5000 0.5000  4 Si 2.53, 4 Al 2.53
Al 0.2500 0.2500 0.2500  4 Co 2.53, 4 Ir 2.53

Output
E_form (uncorrected) ... -0.57 eV per atom

[26]
Material: TiAlCoIr2
Method: DFT, PBE-GGA
State: relaxed

a b c (Å): 4.5956 4.1444 4.5956
angles (deg): 90.00 90.00 90.00
With the nearest neighbours (Å) after each atom.
Atoms (fractional coordinates):
Co 0.0000 0.5000 0.0000  2 Ti 2.07
Ti 0.0000 0.0000 0.0000  2 Co 2.07, 4 Ir 2.30
Ir 0.0000 0.0000 0.5000  2 Ti 2.30
Ir 0.5000 0.0000 0.0000  2 Ti 2.30
Al 0.5000 0.5000 0.5000  8 Ir 3.09, 4 Co 3.25

Output
Calculated formation energy ... 0.868 eV/atom

[27]
Material: KAlCo
Method: DFT, PBE-GGA
State: relaxed

a b c (Å): 3.0453 3.0453 7.4491
angles (deg): 90.00 90.00 120.00
With the nearest neighbours (Å) after each atom.
Atoms (fractional coordinates):
Co 0.6667 0.3333 0.2885  3 Al 2.42
Al 0.0000 0.0000 0.0650  3 Co 2.42
K 0.3333 0.6667 0.6465  6 K 3.05, 3 Co 3.19

Output
Calculated formation energy ... 0.633 eV/atom
Distance to the lowest polymorph of the same formula ... 343 meV/atom

[28]
Material: KAlCo3
Method: DFT, PBE-GGA
State: relaxed

a b c (Å): 4.6036 4.6036 4.6036
angles (deg): 90.00 90.00 90.00
With the nearest neighbours (Å) after each atom.
Atoms (fractional coordinates):
K 0.5000 0.5000 0.5000  12 Co 3.26
Co 0.5000 0.0000 0.0000  2 Al 2.30
Co 0.0000 0.5000 0.0000  2 Al 2.30
Co 0.0000 0.0000 0.5000  2 Al 2.30
Al 0.0000 0.0000 0.0000  6 Co 2.30

Output
Calculated formation energy ... 1.057 eV/atom
Distance to the lowest polymorph of the same formula ... 0 meV/atom